Compound: PuAl4Au2
Source: Alexandria via LeMat-Bulk
Functional: PBE
Structure: relaxed

```
PuAl4Au2
1.0
8.087 0.000 0.000
0.000 8.087 0.000
0.000 0.000 4.094
Pu Al Au
2 8 4
direct
0.000 0.000 0.000
0.500 0.500 0.500
0.082 0.339 0.500
0.161 0.582 0.000
0.339 0.082 0.500
0.418 0.839 0.000
0.582 0.161 0.000
0.661 0.918 0.500
0.839 0.418 0.000
0.918 0.661 0.500
0.213 0.787 0.500
0.287 0.287 0.000
0.713 0.713 0.000
0.787 0.213 0.500
```

The calculation puts the total energy at -5.489 eV per atom. The value obtained for the magnetic moment is 0.838 μB/atom.